This record from the Alexandria database describes GeIr2PdF at its PBEsol-relaxed geometry. The functional is SCAN.

abc: 4.541 4.541 4.586
angles: 90.00 90.00 90.00
Positions (direct):
1 Ge 0.000 0.000 0.000
2 Ir 0.000 0.500 0.000
3 Ir 0.500 0.000 0.000
4 Pd 0.000 0.000 0.500
5 F 0.500 0.500 0.500

Calculated values
DFT total energy	-192.33	eV/cell
V	94.6	Å³ per cell
M_tot	1.74	Bohr magnetons per cell